(1)
# Na2Ca2IO6 (PBE, optimized geometry)
data_Na2Ca2IO6
_chemical_formula_sum 'Na4 Ca4 I2 O12'
_cell_length_a 5.928
_cell_length_b 10.029
_cell_length_c 5.941
_cell_angle_alpha 90.00
_cell_angle_beta 106.38
_cell_angle_gamma 90.00
_symmetry_space_group_name_H-M 'C 1 2/m 1'
_symmetry_Int_Tables_number 12
_symmetry_space_group_name_Hall '-C 2y'
loop_
_atom_site_label
_atom_site_fract_x
_atom_site_fract_y
_atom_site_fract_z
Na1 0.000 0.154 0.000
Ca1 0.000 0.337 0.500
I1 0.000 0.000 0.500
O1 0.197 0.149 0.697
O2 0.224 0.000 0.298
# ΔE_f (raw): -1.6908 eV/atom
# D(E_F): 0.305 states/eV/atom
# calculated volume: 338.9 Å³/cell

---

(2)
# SmTh2FeN4 (PBE, optimized geometry)
data_SmTh2FeN4
_chemical_formula_sum 'Sm4 Th8 Fe4 N16'
_cell_length_a 3.597
_cell_length_b 11.764
_cell_length_c 11.887
_cell_angle_alpha 90.00
_cell_angle_beta 90.00
_cell_angle_gamma 90.00
_symmetry_space_group_name_H-M 'C m c m'
_symmetry_Int_Tables_number 63
_symmetry_space_group_name_Hall '-C 2c 2'
loop_
_atom_site_label
_atom_site_fract_x
_atom_site_fract_y
_atom_site_fract_z
Sm1 0.000 0.100 0.250
Th1 0.000 0.368 0.059
Fe1 0.000 0.164 0.750
N1 0.000 0.000 0.000
N2 0.000 0.268 0.622
N3 0.000 0.451 0.250
# ΔE_f (raw): -1.1408 eV/atom
# D(E_F): 0.254 states/eV/atom
# calculated volume: 503.0 Å³/cell

---

(3)
# ZrTaN3 (PBE, optimized geometry)
data_ZrTaN3
_chemical_formula_sum 'Zr1 Ta1 N3'
_cell_length_a 3.987
_cell_length_b 3.987
_cell_length_c 3.987
_cell_angle_alpha 90.00
_cell_angle_beta 90.00
_cell_angle_gamma 90.00
_symmetry_space_group_name_H-M 'P m -3 m'
_symmetry_Int_Tables_number 221
_symmetry_space_group_name_Hall '-P 4 2 3'
loop_
_atom_site_label
_atom_site_fract_x
_atom_site_fract_y
_atom_site_fract_z
Zr1 0.000 0.000 0.000
Ta1 0.500 0.500 0.500
N1 0.000 0.500 0.500
# ΔE_f (raw): -0.4350 eV/atom
# D(E_F): 0.147 states/eV/atom
# calculated volume: 63.4 Å³/cell

---

(4)
# ZrBSb2I (PBE, optimized geometry)
data_ZrBSb2I
_chemical_formula_sum 'Zr1 B1 Sb2 I1'
_cell_length_a 5.586
_cell_length_b 5.586
_cell_length_c 5.731
_cell_angle_alpha 90.00
_cell_angle_beta 90.00
_cell_angle_gamma 90.00
_symmetry_space_group_name_H-M 'P 4/m m m'
_symmetry_Int_Tables_number 123
_symmetry_space_group_name_Hall '-P 4 2'
loop_
_atom_site_label
_atom_site_fract_x
_atom_site_fract_y
_atom_site_fract_z
Zr1 0.000 0.000 0.000
B1 0.500 0.500 0.500
Sb1 0.000 0.500 0.000
I1 0.000 0.000 0.500
# ΔE_f (raw): 1.0879 eV/atom
# D(E_F): 1.057 states/eV/atom
# calculated volume: 178.8 Å³/cell

---

(5)
# Li3HgSb2 (PBE, optimized geometry)
data_Li3HgSb2
_chemical_formula_sum 'Li3 Hg1 Sb2'
_cell_length_a 4.412
_cell_length_b 4.261
_cell_length_c 6.958
_cell_angle_alpha 90.00
_cell_angle_beta 108.35
_cell_angle_gamma 90.00
_symmetry_space_group_name_H-M 'P 1 2/m 1'
_symmetry_Int_Tables_number 10
_symmetry_space_group_name_Hall '-P 2y'
loop_
_atom_site_label
_atom_site_fract_x
_atom_site_fract_y
_atom_site_fract_z
Li1 0.000 0.000 0.000
Li2 0.330 0.000 0.660
Hg1 0.500 0.500 0.000
Sb1 0.164 0.500 0.326
# ΔE_f (raw): -0.3809 eV/atom
# D(E_F): 0.305 states/eV/atom
# calculated volume: 124.2 Å³/cell

---

(6)
# BaTeRu2Cl (PBE, optimized geometry)
data_BaTeRu2Cl
_chemical_formula_sum 'Ba1 Te1 Ru2 Cl1'
_cell_length_a 4.826
_cell_length_b 4.826
_cell_length_c 6.494
_cell_angle_alpha 90.00
_cell_angle_beta 90.00
_cell_angle_gamma 90.00
_symmetry_space_group_name_H-M 'P 4/m m m'
_symmetry_Int_Tables_number 123
_symmetry_space_group_name_Hall '-P 4 2'
loop_
_atom_site_label
_atom_site_fract_x
_atom_site_fract_y
_atom_site_fract_z
Ba1 0.000 0.000 0.000
Te1 0.500 0.500 0.500
Ru1 0.000 0.500 0.500
Cl1 0.500 0.500 0.000
# ΔE_f (raw): 0.2056 eV/atom
# D(E_F): 0.535 states/eV/atom
# calculated volume: 151.2 Å³/cell

---

(7)
# Sr2ScHg (PBE, optimized geometry)
data_Sr2ScHg
_chemical_formula_sum 'Sr2 Sc1 Hg1'
_cell_length_a 4.135
_cell_length_b 4.135
_cell_length_c 7.858
_cell_angle_alpha 90.00
_cell_angle_beta 90.00
_cell_angle_gamma 90.00
_symmetry_space_group_name_H-M 'P 4/m m m'
_symmetry_Int_Tables_number 123
_symmetry_space_group_name_Hall '-P 4 2'
loop_
_atom_site_label
_atom_site_fract_x
_atom_site_fract_y
_atom_site_fract_z
Sr1 0.000 0.000 0.237
Sc1 0.500 0.500 0.500
Hg1 0.500 0.500 0.000
# D(E_F): 0.929 states/eV/atom
# energy relative to the elements: -34 meV/atom
# calculated volume: 134.4 Å³/cell

---

(8)
# EuLu2Ir (PBE, optimized geometry)
data_EuLu2Ir
_chemical_formula_sum 'Eu1 Lu2 Ir1'
_cell_length_a 3.436
_cell_length_b 3.436
_cell_length_c 9.147
_cell_angle_alpha 90.00
_cell_angle_beta 90.00
_cell_angle_gamma 90.00
_symmetry_space_group_name_H-M 'P 4/m m m'
_symmetry_Int_Tables_number 123
_symmetry_space_group_name_Hall '-P 4 2'
loop_
_atom_site_label
_atom_site_fract_x
_atom_site_fract_y
_atom_site_fract_z
Eu1 0.000 0.000 0.000
Lu1 0.500 0.500 0.327
Ir1 0.000 0.000 0.500
# D(E_F): 0.828 states/eV/atom
# energy relative to the elements: -476 meV/atom
# calculated volume: 108.0 Å³/cell

---

(9)
# Re2NiAs (PBE, optimized geometry)
data_Re2NiAs
_chemical_formula_sum 'Re4 Ni2 As2'
_cell_length_a 8.960
_cell_length_b 2.952
_cell_length_c 4.451
_cell_angle_alpha 90.00
_cell_angle_beta 96.14
_cell_angle_gamma 90.00
_symmetry_space_group_name_H-M 'C 1 2/m 1'
_symmetry_Int_Tables_number 12
_symmetry_space_group_name_Hall '-C 2y'
loop_
_atom_site_label
_atom_site_fract_x
_atom_site_fract_y
_atom_site_fract_z
Re1 0.223 0.000 0.225
Ni1 0.000 0.500 0.000
As1 0.000 0.000 0.500
# D(E_F): 0.833 states/eV/atom
# energy relative to the elements: 270 meV/atom
# calculated volume: 117.0 Å³/cell

---

(10)
# SbSeBr (PBE, optimized geometry)
data_SbSeBr
_chemical_formula_sum 'Sb2 Se2 Br2'
_cell_length_a 7.058
_cell_length_b 4.076
_cell_length_c 7.498
_cell_angle_alpha 90.00
_cell_angle_beta 107.90
_cell_angle_gamma 90.00
_symmetry_space_group_name_H-M 'C 1 m 1'
_symmetry_Int_Tables_number 8
_symmetry_space_group_name_Hall 'C -2y'
loop_
_atom_site_label
_atom_site_fract_x
_atom_site_fract_y
_atom_site_fract_z
Sb1 0.000 0.000 0.000
Se1 0.237 0.500 0.215
Br1 0.247 0.000 0.734
# ΔE_f (raw): -0.4250 eV/atom
# calculated volume: 205.2 Å³/cell

---

(11)
# Tm2ScZn (PBE, optimized geometry)
data_Tm2ScZn
_chemical_formula_sum 'Tm6 Sc3 Zn3'
_cell_length_a 3.4752
_cell_length_b 3.4752
_cell_length_c 29.6097
_cell_angle_alpha 90.00
_cell_angle_beta 90.00
_cell_angle_gamma 120.00
_symmetry_space_group_name_H-M 'R 3 m'
_symmetry_Int_Tables_number 160
_symmetry_space_group_name_Hall 'R 3 -2"'
loop_
_atom_site_label
_atom_site_fract_x
_atom_site_fract_y
_atom_site_fract_z
Tm1 0.0000 0.0000 0.0000
Tm2 0.0000 0.0000 0.1817
Sc1 0.0000 0.0000 0.4242
Zn1 0.0000 0.0000 0.5905
# D(E_F): 1.358 states/eV/atom
# energy relative to the elements: -53 meV/atom
# calculated volume: 309.7 Å³/cell

---

(12)
# LiTeS3 (PBE, optimized geometry)
data_LiTeS3
_chemical_formula_sum 'Li1 Te1 S3'
_cell_length_a 5.077
_cell_length_b 5.077
_cell_length_c 5.077
_cell_angle_alpha 90.00
_cell_angle_beta 90.00
_cell_angle_gamma 90.00
_symmetry_space_group_name_H-M 'P m -3 m'
_symmetry_Int_Tables_number 221
_symmetry_space_group_name_Hall '-P 4 2 3'
loop_
_atom_site_label
_atom_site_fract_x
_atom_site_fract_y
_atom_site_fract_z
Li1 0.000 0.000 0.000
Te1 0.500 0.500 0.500
S1 0.000 0.500 0.500
# ΔE_f (raw): 0.1476 eV/atom
# D(E_F): 0.847 states/eV/atom
# calculated volume: 130.9 Å³/cell

---

(13)
# MgMn2Tl (PBE, optimized geometry)
data_MgMn2Tl
_chemical_formula_sum 'Mg2 Mn4 Tl2'
_cell_length_a 9.596
_cell_length_b 3.143
_cell_length_c 5.100
_cell_angle_alpha 90.00
_cell_angle_beta 102.60
_cell_angle_gamma 90.00
_symmetry_space_group_name_H-M 'C 1 2/m 1'
_symmetry_Int_Tables_number 12
_symmetry_space_group_name_Hall '-C 2y'
loop_
_atom_site_label
_atom_site_fract_x
_atom_site_fract_y
_atom_site_fract_z
Mg1 0.000 0.000 0.000
Mn1 0.249 0.500 0.234
Tl1 0.000 0.500 0.500
# D(E_F): 0.803 states/eV/atom
# energy relative to the elements: 416 meV/atom
# calculated volume: 150.1 Å³/cell

---

(14)
# CrBiAu (PBE, optimized geometry)
data_CrBiAu
_chemical_formula_sum 'Cr3 Bi3 Au3'
_cell_length_a 3.4030
_cell_length_b 3.4030
_cell_length_c 20.9764
_cell_angle_alpha 90.00
_cell_angle_beta 90.00
_cell_angle_gamma 120.00
_symmetry_space_group_name_H-M 'R 3 m'
_symmetry_Int_Tables_number 160
_symmetry_space_group_name_Hall 'R 3 -2"'
loop_
_atom_site_label
_atom_site_fract_x
_atom_site_fract_y
_atom_site_fract_z
Cr1 0.0000 0.0000 0.0000
Bi1 0.0000 0.0000 0.4380
Au1 0.0000 0.0000 0.5795
# D(E_F): 0.675 states/eV/atom
# energy relative to the elements: 361 meV/atom
# calculated volume: 210.4 Å³/cell

---

(15)
# La4GaCuBr2 (PBE, optimized geometry)
data_La4GaCuBr2
_chemical_formula_sum 'La4 Ga1 Cu1 Br2'
_cell_length_a 7.505
_cell_length_b 4.405
_cell_length_c 7.693
_cell_angle_alpha 90.00
_cell_angle_beta 109.28
_cell_angle_gamma 90.00
_symmetry_space_group_name_H-M 'P 1 2/m 1'
_symmetry_Int_Tables_number 10
_symmetry_space_group_name_Hall '-P 2y'
loop_
_atom_site_label
_atom_site_fract_x
_atom_site_fract_y
_atom_site_fract_z
La1 0.240 0.000 0.231
La2 0.254 0.500 0.765
Ga1 0.500 0.000 0.000
Cu1 0.000 0.500 0.000
Br1 0.000 0.000 0.500
Br2 0.500 0.500 0.500
# ΔE_f (raw): -0.8220 eV/atom
# D(E_F): 1.005 states/eV/atom
# calculated volume: 240.0 Å³/cell

---

(16)
# Ti2CrBIr (PBE, optimized geometry)
data_Ti2CrBIr
_chemical_formula_sum 'Ti2 Cr1 B1 Ir1'
_cell_length_a 4.387
_cell_length_b 4.387
_cell_length_c 4.405
_cell_angle_alpha 90.00
_cell_angle_beta 90.00
_cell_angle_gamma 90.00
_symmetry_space_group_name_H-M 'P 4/m m m'
_symmetry_Int_Tables_number 123
_symmetry_space_group_name_Hall '-P 4 2'
loop_
_atom_site_label
_atom_site_fract_x
_atom_site_fract_y
_atom_site_fract_z
Ti1 0.000 0.500 0.000
Cr1 0.000 0.000 0.000
B1 0.500 0.500 0.500
Ir1 0.000 0.000 0.500
# D(E_F): 0.587 states/eV/atom
# energy relative to the elements: 1242 meV/atom
# calculated volume: 84.8 Å³/cell

---

(17)
# Rb2AgIr (PBE, optimized geometry)
data_Rb2AgIr
_chemical_formula_sum 'Rb8 Ag4 Ir4'
_cell_length_a 4.422
_cell_length_b 4.422
_cell_length_c 22.694
_cell_angle_alpha 90.00
_cell_angle_beta 90.00
_cell_angle_gamma 90.00
_symmetry_space_group_name_H-M 'I -4 2 d'
_symmetry_Int_Tables_number 122
_symmetry_space_group_name_Hall 'I -4 2bw'
loop_
_atom_site_label
_atom_site_fract_x
_atom_site_fract_y
_atom_site_fract_z
Rb1 0.248 0.250 0.125
Ag1 0.000 0.000 0.500
Ir1 0.000 0.000 0.000
# D(E_F): 0.429 states/eV/atom
# energy relative to the elements: 1079 meV/atom
# calculated volume: 443.8 Å³/cell

---

(18)
# TaPtCl2 (PBE, optimized geometry)
data_TaPtCl2
_chemical_formula_sum 'Ta3 Pt3 Cl6'
_cell_length_a 3.4808
_cell_length_b 3.4808
_cell_length_c 25.0643
_cell_angle_alpha 90.00
_cell_angle_beta 90.00
_cell_angle_gamma 120.00
_symmetry_space_group_name_H-M 'R 3 m'
_symmetry_Int_Tables_number 160
_symmetry_space_group_name_Hall 'R 3 -2"'
loop_
_atom_site_label
_atom_site_fract_x
_atom_site_fract_y
_atom_site_fract_z
Ta1 0.0000 0.0000 0.0000
Pt1 0.0000 0.0000 0.7305
Cl1 0.0000 0.0000 0.2650
Cl2 0.0000 0.0000 0.4677
# ΔE_f (raw): -0.5207 eV/atom
# D(E_F): 0.824 states/eV/atom
# calculated volume: 263.0 Å³/cell

---

(19)
# Mg7Al3Ga (PBE, optimized geometry)
data_Mg7Al3Ga
_chemical_formula_sum 'Mg14 Al6 Ga2'
_cell_length_a 10.195
_cell_length_b 10.514
_cell_length_c 5.281
_cell_angle_alpha 90.00
_cell_angle_beta 121.16
_cell_angle_gamma 90.00
_symmetry_space_group_name_H-M 'C 1 2/m 1'
_symmetry_Int_Tables_number 12
_symmetry_space_group_name_Hall '-C 2y'
loop_
_atom_site_label
_atom_site_fract_x
_atom_site_fract_y
_atom_site_fract_z
Mg1 0.000 0.000 0.000
Mg2 0.172 0.273 0.672
Mg3 0.187 0.500 0.190
Al1 0.000 0.276 0.000
Al2 0.000 0.500 0.500
Ga1 0.000 0.000 0.500
# D(E_F): 0.348 states/eV/atom
# energy relative to the elements: 94 meV/atom
# calculated volume: 484.4 Å³/cell

---

(20)
# ZnTcCl2 (PBE, optimized geometry)
data_ZnTcCl2
_chemical_formula_sum 'Zn1 Tc1 Cl2'
_cell_length_a 3.100
_cell_length_b 4.191
_cell_length_c 5.626
_cell_angle_alpha 90.00
_cell_angle_beta 90.00
_cell_angle_gamma 90.00
_symmetry_space_group_name_H-M 'P m m m'
_symmetry_Int_Tables_number 47
_symmetry_space_group_name_Hall '-P 2 2'
loop_
_atom_site_label
_atom_site_fract_x
_atom_site_fract_y
_atom_site_fract_z
Zn1 0.000 0.000 0.000
Tc1 0.500 0.000 0.500
Cl1 0.000 0.500 0.500
Cl2 0.500 0.500 0.000
# ΔE_f (raw): 0.3653 eV/atom
# D(E_F): 0.563 states/eV/atom
# calculated volume: 73.1 Å³/cell